DFT (PBE-GGA) results for crystalline Y2TaRe at its relaxed geometry.

Results
As for the total magnetization: 0.00 μB per atom. The calculation puts the energy at -0.338 hartree per atom.

Cell and atoms, written as POSCAR:
```
Y2TaRe
1.0
6.050 0.003 0.000
5.043 3.342 0.000
2.157 0.650 4.586
Y Ta Re
2 1 1
Direct
0.778 0.778 0.722 Y
0.995 0.995 0.005 Y
0.202 0.202 0.298 Ta
0.525 0.525 0.475 Re
```